A plane-wave DFT calculation with GGA-PBE was carried out for a relaxed structure of LiZnCoAs.

Cell: 4.133 4.133 4.133 Å, 60.00 60.00 60.00°
Fractional coordinates of all 4 atoms:
Li1 0.000 0.000 0.000
Zn1 0.250 0.250 0.250
Co1 0.500 0.500 0.500
As1 0.750 0.750 0.750

Results
Excess energy over the best structure of this formula in the dataset ... 0 meV per atom
Space-group type ... F-43m, No. 216

***

A plane-wave DFT calculation with GGA-PBE was carried out for a relaxed structure of Li2Sc2CoSn2Pd.

Cell: 4.515 4.515 6.471 Å, 90.00 90.00 90.00°
Fractional coordinates of all 8 atoms:
Li1 0.000 0.000 0.000
Li2 0.500 0.500 0.500
Sc1 0.000 0.500 0.738
Sc2 0.500 0.000 0.262
Co1 0.000 0.000 0.500
Sn1 0.000 0.500 0.263
Sn2 0.500 0.000 0.737
Pd1 0.500 0.500 0.000

Results
Space-group type ... P-4m2, No. 115

***

no.,uncorrected energy (eV/cell),V (A^3/atom)
1,-15.8,12.479
2,-41.8,16.492